Density functional theory data (PBE) for a geometry-optimized YTaAlTc2 structure.

Properties
Total moment (μB per formula unit): 0.0
E_tot (eV for the cell shown): -36.76
Formation enthalpy at 0 K (kcal/mol of atoms): 27.80

Geometry as CIF:
```
data_YTaAlTc2
_cell_length_a 4.538
_cell_length_b 4.538
_cell_length_c 4.916
_cell_angle_alpha 90.00
_cell_angle_beta 90.00
_cell_angle_gamma 90.00
_symmetry_space_group_name_H-M 'P 4/m m m'
_symmetry_Int_Tables_number 123
_symmetry_space_group_name_Hall '-P 4 2'
loop_
_atom_site_label
_atom_site_type_symbol
_atom_site_fract_x
_atom_site_fract_y
_atom_site_fract_z
Y1 Y 0.000 0.000 0.000
Ta1 Ta 0.500 0.500 0.000
Al1 Al 0.000 0.000 0.500
Tc1 Tc 0.000 0.500 0.500
```



Density functional theory data (PBE) for a geometry-optimized NdEuAgPd structure.

Properties
Total moment (μB per formula unit): 7.1
E_tot (eV for the cell shown): -99.88
Formation enthalpy at 0 K (kcal/mol of atoms): -10.86

Geometry as CIF:
```
data_NdEuAgPd
_cell_length_a 7.385
_cell_length_b 7.385
_cell_length_c 7.385
_cell_angle_alpha 90.00
_cell_angle_beta 90.00
_cell_angle_gamma 90.00
_symmetry_space_group_name_H-M 'F -4 3 m'
_symmetry_Int_Tables_number 216
_symmetry_space_group_name_Hall 'F -4 2 3'
loop_
_atom_site_label
_atom_site_type_symbol
_atom_site_fract_x
_atom_site_fract_y
_atom_site_fract_z
Nd1 Nd 0.000 0.000 0.000
Eu1 Eu 0.000 0.000 0.500
Ag1 Ag 0.250 0.250 0.750
Pd1 Pd 0.250 0.250 0.250
```



Among the records above, which one has the highest formation enthalpy at 0 K? YTaAlTc2



Among the records above, which one has the highest E_tot? YTaAlTc2